Entry 1:
Compound: TiBe6
Source: Alexandria via LeMat-Bulk
Functional: PBE
Structure: optimized geometry

POSCAR file:
```
TiBe6
1.0
4.662 0.000 0.000
0.000 4.662 0.000
0.000 0.000 4.662
Ti Be
1 6
Direct
0.000 0.000 0.000
0.196 0.500 0.500
0.500 0.196 0.500
0.500 0.500 0.196
0.500 0.500 0.804
0.500 0.804 0.500
0.804 0.500 0.500
```

energy relative to the elements = 30.01 kcal/mol of atoms
energy above the most stable polymorph in this dataset = 985 kJ/mol of formula units



Entry 2:
Compound: Tl2PAu
Source: Alexandria via LeMat-Bulk
Functional: PBE
Structure: optimized geometry

POSCAR file:
```
Tl2PAu
1.0
4.676 0.000 0.000
0.000 4.284 0.000
-2.236 0.000 6.195
Tl P Au
2 1 1
Direct
0.162 0.000 0.317
0.838 0.000 0.683
0.000 0.500 0.000
0.500 0.500 0.000
```

energy relative to the elements = 2.23 kcal/mol of atoms
energy above the most stable polymorph in this dataset = 51 kJ/mol of formula units